1.
{
  "formula": "ZrBeW2",
  "functional": "PBE",
  "state": "relaxed",
  "lattice_angstrom": [[2.735, 0.000, 0.000], [0.000, 2.735, 0.000], [0.000, 0.000, 8.413]],
  "species": ["Zr", "Be", "W", "W"],
  "frac_coords": [[0.000, 0.000, 0.000], [0.000, 0.000, 0.500], [0.500, 0.500, 0.300], [0.500, 0.500, 0.700]],
  "crystal_system": "tetragonal",
  "vol_a3_per_cell": 63,
  "sg": "P4/mmm, No. 123",
  "total_energy_ha_per_atom": -0.3408,
  "formation_enthalpy_0k_mev_per_atom": 270,
  "n_ef_per_ev_fu": 2.1
}

=====

2.
{
  "formula": "CeBeNiC",
  "functional": "PBE",
  "state": "relaxed",
  "lattice_angstrom": [[3.680, 0.000, 0.000], [0.000, 3.680, 0.000], [0.000, 0.000, 7.998]],
  "species": ["Ce", "Ce", "Be", "Be", "Ni", "Ni", "C", "C"],
  "frac_coords": [[0.250, 0.250, 0.165], [0.750, 0.750, 0.835], [0.250, 0.250, 0.649], [0.750, 0.750, 0.351], [0.250, 0.750, 0.500], [0.750, 0.250, 0.500], [0.250, 0.250, 0.864], [0.750, 0.750, 0.136]],
  "crystal_system": "tetragonal",
  "vol_a3_per_cell": 108,
  "sg": "P4/nmm, No. 129",
  "total_energy_ha_per_atom": -0.2352,
  "formation_enthalpy_0k_mev_per_atom": -233,
  "n_ef_per_ev_fu": 1.6
}

=====

3.
{
  "formula": "KZn3Sn3",
  "functional": "PBE",
  "state": "relaxed",
  "lattice_angstrom": [[7.581, 0.000, 0.000], [0.000, 7.581, 0.000], [0.000, 0.000, 7.581]],
  "species": ["K", "K", "Zn", "Zn", "Zn", "Zn", "Zn", "Zn", "Sn", "Sn", "Sn", "Sn", "Sn", "Sn"],
  "frac_coords": [[0.000, 0.000, 0.000], [0.500, 0.500, 0.500], [0.000, 0.250, 0.500], [0.000, 0.750, 0.500], [0.250, 0.500, 0.000], [0.500, 0.000, 0.250], [0.500, 0.000, 0.750], [0.750, 0.500, 0.000], [0.000, 0.500, 0.250], [0.000, 0.500, 0.750], [0.250, 0.000, 0.500], [0.500, 0.250, 0.000], [0.500, 0.750, 0.000], [0.750, 0.000, 0.500]],
  "crystal_system": "cubic",
  "vol_a3_per_cell": 436,
  "sg": "Pm-3n, No. 223",
  "total_energy_ha_per_atom": -0.0855,
  "formation_enthalpy_0k_mev_per_atom": 91,
  "polymorph_energy_mev_per_atom": 28,
  "n_ef_per_ev_fu": 4.5
}

=====

4.
{
  "formula": "BaZnRh2",
  "functional": "PBE",
  "state": "relaxed",
  "lattice_angstrom": [[-2.430, 2.430, 8.688], [2.430, -2.430, 8.688], [2.430, 2.430, -8.688]],
  "species": ["Ba", "Ba", "Zn", "Zn", "Rh", "Rh", "Rh", "Rh"],
  "frac_coords": [[0.000, 0.000, 0.000], [0.750, 0.250, 0.500], [0.250, 0.750, 0.500], [0.500, 0.500, 0.000], [0.310, 0.625, 0.185], [0.375, 0.560, 0.685], [0.440, 0.125, 0.815], [0.875, 0.690, 0.315]],
  "crystal_system": "tetragonal",
  "vol_a3_per_cell": 205,
  "sg": "I-42d, No. 122",
  "total_energy_ha_per_atom": -0.1645,
  "formation_enthalpy_0k_mev_per_atom": -2,
  "n_ef_per_ev_fu": 1.0
}

=====

5.
{
  "formula": "La2Pr3S4",
  "functional": "PBE",
  "state": "relaxed",
  "lattice_angstrom": [[6.837, -2.057, 0.000], [6.837, 2.057, 0.000], [-4.916, 0.000, 8.714]],
  "species": ["La", "La", "Pr", "Pr", "Pr", "S", "S", "S", "S"],
  "frac_coords": [[0.101, 0.101, 0.396], [0.899, 0.899, 0.604], [0.295, 0.295, 0.194], [0.500, 0.500, 0.000], [0.705, 0.705, 0.806], [0.100, 0.100, 0.899], [0.299, 0.299, 0.699], [0.701, 0.701, 0.301], [0.900, 0.900, 0.101]],
  "crystal_system": "monoclinic",
  "vol_a3_per_cell": 245,
  "sg": "C2/m, No. 12",
  "total_energy_ha_per_atom": -0.2326,
  "formation_energy_uncorrected_ev_per_atom": -1.806,
  "n_ef_per_ev_fu": 5.9
}

=====

6.
{
  "formula": "Sr2Pr2PtO6",
  "functional": "PBE",
  "state": "relaxed",
  "lattice_angstrom": [[3.015, 1.741, 5.984], [-3.015, 1.741, 5.984], [0.000, -3.481, 5.984]],
  "species": ["Sr", "Sr", "Pr", "Pr", "Pt", "O", "O", "O", "O", "O", "O"],
  "frac_coords": [[0.164, 0.164, 0.164], [0.836, 0.836, 0.836], [0.358, 0.358, 0.358], [0.642, 0.642, 0.642], [0.000, 0.000, 0.000], [0.034, 0.421, 0.764], [0.236, 0.966, 0.579], [0.421, 0.764, 0.034], [0.579, 0.236, 0.966], [0.764, 0.034, 0.421], [0.966, 0.579, 0.236]],
  "crystal_system": "trigonal",
  "vol_a3_per_cell": 188,
  "sg": "R-3, No. 148",
  "total_energy_ha_per_atom": -0.2492,
  "formation_energy_uncorrected_ev_per_atom": -2.352
}

=====

7.
{
  "formula": "Na3Tm2NpO6",
  "functional": "PBE",
  "state": "relaxed",
  "lattice_angstrom": [[2.957, -5.124, 0.000], [2.957, 5.124, 0.000], [-1.968, 0.000, 5.615]],
  "species": ["Na", "Na", "Na", "Tm", "Tm", "Np", "O", "O", "O", "O", "O", "O"],
  "frac_coords": [[0.000, 0.000, 0.000], [0.330, 0.670, 0.000], [0.670, 0.330, 0.000], [0.167, 0.833, 0.500], [0.833, 0.167, 0.500], [0.500, 0.500, 0.500], [0.087, 0.430, 0.289], [0.228, 0.228, 0.712], [0.430, 0.087, 0.289], [0.570, 0.913, 0.711], [0.772, 0.772, 0.288], [0.913, 0.570, 0.711]],
  "crystal_system": "monoclinic",
  "vol_a3_per_cell": 170,
  "sg": "C2/m, No. 12",
  "total_energy_ha_per_atom": -0.2665,
  "formation_energy_uncorrected_ev_per_atom": -2.620,
  "n_ef_per_ev_fu": 6.4
}

=====

8.
{
  "formula": "Tb3Nd7Mg",
  "functional": "PBE",
  "state": "relaxed",
  "lattice_angstrom": [[7.146, 0.000, 0.000], [-3.573, 6.188, 0.000], [0.000, 0.000, 8.706]],
  "species": ["Tb", "Tb", "Tb", "Nd", "Nd", "Nd", "Nd", "Nd", "Nd", "Nd", "Mg"],
  "frac_coords": [[0.168, 0.336, 0.000], [0.168, 0.832, 0.000], [0.664, 0.832, 0.000], [0.004, 0.502, 0.668], [0.333, 0.166, 0.331], [0.333, 0.667, 0.333], [0.498, 0.502, 0.668], [0.498, 0.996, 0.668], [0.834, 0.166, 0.331], [0.834, 0.667, 0.331], [0.000, 0.000, 0.667]],
  "crystal_system": "trigonal",
  "vol_a3_per_cell": 385,
  "sg": "P3m1, No. 156",
  "total_energy_ha_per_atom": -0.1568,
  "formation_enthalpy_0k_mev_per_atom": 176,
  "n_ef_per_ev_fu": 15.5
}

=====

9.
{
  "formula": "K2CaHfBe",
  "functional": "PBE",
  "state": "relaxed",
  "lattice_angstrom": [[5.878, 0.000, 0.000], [0.000, 5.878, 0.000], [0.000, 0.000, 5.857]],
  "species": ["K", "K", "Ca", "Hf", "Be"],
  "frac_coords": [[0.000, 0.500, 0.000], [0.500, 0.000, 0.000], [0.000, 0.000, 0.500], [0.500, 0.500, 0.500], [0.000, 0.000, 0.000]],
  "crystal_system": "tetragonal",
  "vol_a3_per_cell": 202,
  "sg": "P4/mmm, No. 123",
  "total_energy_ha_per_atom": -0.0817,
  "formation_enthalpy_0k_mev_per_atom": 1353,
  "n_ef_per_ev_fu": 7.7
}

=====

10.
{
  "formula": "BaCdCoP",
  "functional": "PBE",
  "state": "relaxed",
  "lattice_angstrom": [[3.971, 0.000, 0.000], [0.000, 3.971, 0.000], [0.000, 0.000, 12.306]],
  "species": ["Ba", "Ba", "Cd", "Cd", "Co", "Co", "P", "P"],
  "frac_coords": [[0.250, 0.250, 0.225], [0.750, 0.750, 0.775], [0.250, 0.750, 0.500], [0.750, 0.250, 0.500], [0.250, 0.750, 0.000], [0.750, 0.250, 0.000], [0.250, 0.250, 0.912], [0.750, 0.750, 0.088]],
  "crystal_system": "tetragonal",
  "vol_a3_per_cell": 194,
  "sg": "P4/nmm, No. 129",
  "total_energy_ha_per_atom": -0.1625,
  "formation_enthalpy_0k_mev_per_atom": -583,
  "n_ef_per_ev_fu": 1.9
}

=====

11.
{
  "formula": "Li2ZnH",
  "functional": "PBE",
  "state": "relaxed",
  "lattice_angstrom": [[2.731, 0.000, 0.000], [-1.365, 2.413, 0.000], [0.000, -1.572, 7.011]],
  "species": ["Li", "Li", "Zn", "H"],
  "frac_coords": [[0.000, 0.000, 0.000], [0.213, 0.427, 0.667], [0.427, 0.850, 0.333], [0.606, 0.212, 0.831]],
  "crystal_system": "triclinic",
  "vol_a3_per_cell": 46,
  "sg": "P1, No. 1",
  "total_energy_ha_per_atom": -0.0864,
  "polymorph_energy_mev_per_atom": 1,
  "n_ef_per_ev_fu": 0.9
}

=====

12.
{
  "formula": "Ba2CaTa",
  "functional": "PBE",
  "state": "relaxed",
  "lattice_angstrom": [[3.613, 0.000, 0.000], [0.000, 5.789, 0.000], [-1.785, 0.000, 7.307]],
  "species": ["Ba", "Ba", "Ca", "Ta"],
  "frac_coords": [[0.000, 0.000, 0.000], [0.328, 0.500, 0.664], [0.614, 0.500, 0.232], [0.718, 0.000, 0.440]],
  "crystal_system": "monoclinic",
  "vol_a3_per_cell": 153,
  "sg": "Pm, No. 6",
  "total_energy_ha_per_atom": -0.1301,
  "formation_enthalpy_0k_mev_per_atom": 885,
  "polymorph_energy_mev_per_atom": 81,
  "n_ef_per_ev_fu": 5.1
}